[1]
The following is a DFT calculation (PBE-GGA) of a relaxed structure of PuCd2Au2.

Output
- uncorrected energy (eV per atom) = -4.744
- space group = No. 127
- M_tot (μB per formula unit) = 6.341

Unit cell a=3.043 b=8.471 c=8.471 alpha=90.00 beta=90.00 gamma=90.00
Last column: magnetic moment on the atom in μB.
Element x y z (fractional)
Pu (0.000, 0.000, 0.000)  5.85
Pu (0.000, 0.500, 0.500)  5.85
Cd (0.500, 0.143, 0.643)  0.00
Cd (0.500, 0.643, 0.857)  0.00
Cd (0.500, 0.857, 0.357)  0.00
Cd (0.500, 0.357, 0.143)  0.00
Au (0.000, 0.346, 0.846)  0.02
Au (0.000, 0.846, 0.654)  0.02
Au (0.000, 0.654, 0.154)  0.02
Au (0.000, 0.154, 0.346)  0.02

[2]
The following is a DFT calculation (PBE-GGA) of a relaxed structure of La2TlCd5.

Output
- uncorrected energy (eV per atom) = -2.393
- space group = No. 63
- M_tot (μB per formula unit) = 0.000

Unit cell a=4.836 b=9.326 c=10.004 alpha=90.00 beta=90.00 gamma=105.03
Element x y z (fractional)
La (0.800, 0.601, 0.750)
La (0.200, 0.399, 0.250)
La (0.000, 0.000, 0.000)
La (0.000, 0.000, 0.500)
Tl (0.450, 0.901, 0.750)
Tl (0.550, 0.099, 0.250)
Cd (0.190, 0.379, 0.894)
Cd (0.810, 0.621, 0.106)
Cd (0.190, 0.379, 0.606)
Cd (0.810, 0.621, 0.394)
Cd (0.351, 0.701, 0.973)
Cd (0.649, 0.299, 0.027)
Cd (0.351, 0.701, 0.527)
Cd (0.649, 0.299, 0.473)
Cd (0.607, 0.213, 0.750)
Cd (0.393, 0.787, 0.250)